Computed, not measured: a relaxed NaZnCoTe crystal at the PBE-GGA level of DFT.

Lattice parameters (Å, degrees): 4.735 4.735 4.735 60.00 60.00 60.00
Element x y z (fractional)
Co 0.500 0.500 0.500
Na 0.750 0.750 0.750
Te 0.250 0.250 0.250
Zn 0.000 0.000 0.000

- Space group: No. 216
- Total DFT energy (no corrections): -0.209 Ry per atom
- Offset from the most stable computed form: 178.5 meV per atom

Computed, not measured: a relaxed Nd2TmZn3CdIn2 crystal at the PBE-GGA level of DFT.

Lattice parameters (Å, degrees): 4.641 7.228 7.228 118.78 90.00 90.00
Element x y z (fractional)
Cd 0.000 0.987 0.987
In 0.500 0.666 0.341
In 0.500 0.341 0.666
Nd 0.000 0.427 0.005
Nd 0.000 0.005 0.427
Tm 0.000 0.575 0.575
Zn 0.500 0.767 0.001
Zn 0.500 0.231 0.231
Zn 0.500 0.001 0.767

- Space group: No. 38
- Total DFT energy (no corrections): -0.224 Ry per atom

Computed, not measured: a relaxed TbInB4 crystal at the PBE-GGA level of DFT.

Lattice parameters (Å, degrees): 5.171 5.171 5.171 143.65 117.86 74.17
Element x y z (fractional)
B 0.566 0.239 0.326
B 0.087 0.761 0.326
B 0.913 0.239 0.674
B 0.434 0.761 0.674
In 0.000 0.000 0.000
Tb 0.500 0.500 0.000

- Space group: No. 71
- Total DFT energy (no corrections): -0.424 Ry per atom
- Offset from the most stable computed form: 0.0 meV per atom

Computed, not measured: a relaxed SrCdSO crystal at the PBE-GGA level of DFT.

Lattice parameters (Å, degrees): 3.944 6.186 6.806 90.00 73.15 90.00
Element x y z (fractional)
Cd 0.877 0.250 0.246
Cd 0.123 0.750 0.754
O 0.000 0.000 0.000
O 0.000 0.500 0.000
S 0.267 0.250 0.466
S 0.733 0.750 0.534
Sr 0.407 0.750 0.185
Sr 0.593 0.250 0.815

- Space group: No. 63
- Total DFT energy (no corrections): -0.326 Ry per atom